# Sc2AlSb

An optimized crystal structure of Sc2AlSb (PBE, Alexandria).

Properties
**Total magnetic moment**: 0.00 μB/cell
**Total energy**: -83.0 eV/cell
**Formation energy (no corrections)**: -0.058 eV per atom
**Energy relative to the lowest polymorph listed for this composition**: 0.5583 eV per atom

Cell lengths 7.063, 7.063, 7.063 Å; angles 90.00, 90.00, 90.00 degrees
Space group F-43m (No. 216)
Unique sites:
1 Sc 0.000 0.000 0.000
2 Sc 0.250 0.250 0.250
3 Al 0.000 0.000 0.500
4 Sb 0.250 0.250 0.750

=====

# Tb2TlPb3

An optimized crystal structure of Tb2TlPb3 (PBE, Alexandria).

Properties
**Total magnetic moment**: 0.00 μB/cell
**Total energy**: -50.0 eV/cell
**Energy relative to the lowest polymorph listed for this composition**: 0.0000 eV per atom

Cell lengths 4.619, 15.581, 4.733 Å; angles 90.00, 90.00, 90.00 degrees
Space group Cmmm (No. 65)
Unique sites:
1 Tb 0.000 0.150 0.000
2 Tl 0.000 0.000 0.500
3 Pb 0.000 0.325 0.500
4 Pb 0.000 0.500 0.000

=====

# Ce2Te2O

An optimized crystal structure of Ce2Te2O (PBE, Alexandria).

Properties
**Total magnetic moment**: 7.68 μB/cell
**Total energy**: -133.6 eV/cell
**Formation energy (no corrections)**: -2.059 eV per atom
**Energy relative to the lowest polymorph listed for this composition**: 0.0000 eV per atom

Cell lengths 6.758, 12.790, 6.207 Å; angles 90.00, 90.00, 90.00 degrees
Space group Ibam (No. 72)
Unique sites:
1 Ce 0.189 0.099 0.000
2 Te 0.170 0.352 0.000
3 O 0.000 0.000 0.250

=====

Look up the total energy of the third one.
-133.6 eV/cell

=====

Look up the energy relative to the lowest polymorph listed for this composition of the third one.
0.0000 eV per atom

=====

Which value of energy relative to the lowest polymorph listed for this composition does entry 1 give?
0.5583 eV per atom